# Tl2TcSe | the Alexandria database | PBE | optimized geometry
data_Tl2TcSe
_chemical_formula_sum 'Tl6 Tc3 Se3'
_cell_length_a 3.6027
_cell_length_b 3.6027
_cell_length_c 24.2100
_cell_angle_alpha 90.00
_cell_angle_beta 90.00
_cell_angle_gamma 120.00
_symmetry_space_group_name_H-M 'R -3 m'
_symmetry_Int_Tables_number 166
_symmetry_space_group_name_Hall '-R 3 2"'
loop_
_atom_site_label
_atom_site_type_symbol
_atom_site_fract_x
_atom_site_fract_y
_atom_site_fract_z
Tl1 Tl 0.0000 0.0000 0.2481
Tc1 Tc 0.0000 0.0000 0.5000
Se1 Se 0.0000 0.0000 0.0000
# Total DFT energy (no corrections): -48.2 eV per cell
# Uncorrected formation energy: 0.63 eV per atom
# Energy above the most stable polymorph in this dataset: 2.27 eV/f.u.
# Density: 10.7 g/cm3